[1]
8
Lattice="3.448 0.000 0.000 0.000 10.209 0.000 0.000 0.000 3.792" Properties=species:S:1:pos:R:3 comment="PBE-GGA RhSe, relaxed" e_form_raw_kcal_per_mol_atoms=-2.1 pbc="T T T"
Rh 0.000 1.058 0.948
Rh 0.000 9.151 2.844
Rh 1.724 4.046 2.844
Rh 1.724 6.163 0.948
Se 0.000 3.602 0.948
Se 0.000 6.607 2.844
Se 1.724 1.503 2.844
Se 1.724 8.707 0.948

[2]
10
Lattice="9.136 -1.977 0.000 9.136 1.977 0.000 -1.849 0.000 8.296" Properties=species:S:1:pos:R:3 comment="PBE-GGA Y4CuBr5, relaxed" e_form_raw_kcal_per_mol_atoms=-29.8 pbc="T T T"
Y -0.396 0.000 1.850
Y 4.692 0.000 7.644
Y 11.730 0.000 0.652
Y 16.818 0.000 6.446
Cu 9.136 0.000 0.000
Br 2.439 0.000 2.785
Br 1.676 0.000 6.933
Br 8.211 0.000 4.148
Br 14.745 0.000 1.363
Br 13.983 0.000 5.511

[3]
12
Lattice="4.968 0.000 0.000 -2.484 4.303 0.000 0.000 0.000 41.631" Properties=species:S:1:pos:R:3 comment="PBE-GGA CsK2Na, relaxed" delta_e_f_mev_per_atom=59 de_polymorph_mev_per_atom=44.4 pbc="T T T"
Cs 0.000 0.000 0.000
Cs 0.000 2.868 27.754
Cs 2.484 1.434 13.877
K 0.000 0.000 23.624
K 0.000 0.000 31.895
K 0.000 2.868 9.747
K 0.000 2.868 18.018
K 2.484 1.434 4.141
K 2.484 1.434 37.501
Na 0.000 0.000 6.944
Na 0.000 2.868 34.698
Na 2.484 1.434 20.821